## SiTe2HI (PBE)

Data for an optimized crystal structure of SiTe2HI.

Results
Energy relative to the lowest polymorph listed for this composition: 140.2 meV per atom

abc: 5.315 5.315 5.706
angles: 90.00 90.00 90.00
Space group P4/mmm (No. 123)
Unique sites:
Si 0.000 0.000 0.000 (multiplicity 1)
Te 0.000 0.500 0.000 (multiplicity 2)
H 0.500 0.500 0.500 (multiplicity 1)
I 0.000 0.000 0.500 (multiplicity 1)

***

## SiTe2HI (PBE)

Data for an optimized crystal structure of SiTe2HI.

Results
Energy relative to the lowest polymorph listed for this composition: 0.0 meV per atom

abc: 4.398 4.398 6.504
angles: 90.00 90.00 90.00
Space group P4/mmm (No. 123)
Unique sites:
Si 0.000 0.000 0.000 (multiplicity 1)
Te 0.000 0.500 0.500 (multiplicity 2)
H 0.500 0.500 0.500 (multiplicity 1)
I 0.500 0.500 0.000 (multiplicity 1)

***

## YSi2HI (PBE)

Data for an optimized crystal structure of YSi2HI.

Results
Electronic total energy: -4.235 eV/atom

abc: 4.135 4.135 5.526
angles: 90.00 90.00 90.00
Space group P4/mmm (No. 123)
Unique sites:
Y 0.000 0.000 0.000 (multiplicity 1)
Si 0.000 0.500 0.500 (multiplicity 2)
H 0.500 0.500 0.500 (multiplicity 1)
I 0.500 0.500 0.000 (multiplicity 1)

***

## SmH2I2 (PBE)

Data for an optimized crystal structure of SmH2I2.

Results
Electronic total energy: -3.617 eV/atom

abc: 8.517 10.898 8.382
angles: 90.00 104.95 90.00
Space group C2/m (No. 12)
Unique sites:
Sm 0.000 0.176 0.000 (multiplicity 4)
H 0.077 0.000 0.928 (multiplicity 4)
H 0.113 0.000 0.074 (multiplicity 4)
I 0.186 0.247 0.739 (multiplicity 8)

***

## SmHI2 (PBE)

Data for an optimized crystal structure of SmHI2.

Results
Electronic total energy: -4.015 eV/atom

abc: 4.0857 4.0857 24.8230
angles: 90.00 90.00 120.00
Space group R3m (No. 160, hexagonal axes)
Unique sites:
Sm 0.0000 0.0000 0.0000 (multiplicity 3)
H 0.0000 0.0000 0.3332 (multiplicity 3)
I 0.0000 0.0000 0.5803 (multiplicity 3)
I 0.0000 0.0000 0.7531 (multiplicity 3)

***

## SmHI (PBE)

Data for an optimized crystal structure of SmHI.

Results
Electronic total energy: -3.892 eV/atom

abc: 12.951 14.098 6.884
angles: 90.00 90.00 90.00
Space group Fdd2 (No. 43)
Unique sites:
Sm 0.120 0.192 0.000 (multiplicity 16)
H 0.041 0.077 0.817 (multiplicity 16)
I 0.116 0.311 0.615 (multiplicity 16)